Material: TiCdP2O
Method: DFT, GGA-PBEsol
State: relaxed

a b c (Å): 4.8236 4.8236 3.9289
angles (deg): 90.00 90.00 90.00
Closest atoms and distances in Å follow each position.
Space group P4/mmm (No. 123)
Asymmetric unit:
Ti: 0.0000 0.0000 0.0000 x1  8 P 3.11, 4 O 3.41
Cd: 0.5000 0.5000 0.5000 x1  2 O 1.96
P: 0.0000 0.5000 0.5000 x2  2 Cd 2.41
O: 0.5000 0.5000 0.0000 x1  2 Cd 1.96

Uncorrected formation energy   0.72 eV per atom
Calculated total energy   -4.55 eV/atom



Material: SmSi2Os2
Method: DFT, GGA-PBEsol
State: relaxed

a b c (Å): 4.1403 4.1403 9.7495
angles (deg): 90.00 90.00 90.00
Closest atoms and distances in Å follow each position.
Space group I4/mmm (No. 139)
Asymmetric unit:
Sm: 0.0000 0.0000 0.0000 x2  8 Si 3.18, 8 Os 3.20
Si: 0.0000 0.0000 0.3717 x4  4 Os 2.39, 1 Si 2.50
Os: 0.0000 0.5000 0.2500 x4  4 Si 2.39

Uncorrected formation energy   -0.74 eV per atom
Calculated total energy   -8.94 eV/atom



Material: RhSe2ClF
Method: DFT, GGA-PBEsol
State: relaxed

a b c (Å): 4.2307 4.2307 5.2053
angles (deg): 90.00 90.00 90.00
Closest atoms and distances in Å follow each position.
Space group P4/mmm (No. 123)
Asymmetric unit:
Rh: 0.0000 0.0000 0.0000 x1  4 Cl 2.99
Se: 0.0000 0.5000 0.5000 x2  2 F 2.12
Cl: 0.5000 0.5000 0.0000 x1  2 F 2.60
F: 0.5000 0.5000 0.5000 x1  4 Se 2.12

Uncorrected formation energy   0.68 eV per atom
Calculated total energy   -3.27 eV/atom



Material: PtC2
Method: DFT, GGA-PBEsol
State: relaxed

a b c (Å): 5.7948 5.7948 3.0375
angles (deg): 90.00 90.00 120.00
Closest atoms and distances in Å follow each position.
Space group P-62m (No. 189)
Asymmetric unit:
Pt: 0.0000 0.0000 0.0000 x1  9 C 2.16-2.25
Pt: 0.3333 0.6667 0.5000 x2  9 C 2.16-2.35
C: 0.0000 0.3884 0.0000 x3  5 Pt 2.25-2.35, 4 C 2.50
C: 0.0000 0.7357 0.5000 x3  4 Pt 2.16

ΔE_f   670 kJ/mol of formula units
ΔE to the lowest computed polymorph   385 kJ/mol of formula units
Calculated total energy   -6.44 eV/atom



Material: NiRh2
Method: DFT, GGA-PBEsol
State: relaxed

a b c (Å): 3.6519 11.1752 3.6881
angles (deg): 90.00 90.00 90.00
Closest atoms and distances in Å follow each position.
Space group Cmcm (No. 63)
Asymmetric unit:
Ni: 0.0000 0.0812 0.2500 x4  10 Rh 2.58-2.64, 2 Ni 2.59
Rh: 0.0000 0.2484 0.7500 x4  8 Rh 2.60-2.64, 4 Ni 2.63-2.64
Rh: 0.0000 0.4176 0.2500 x4  6 Ni 2.58-2.60, 6 Rh 2.60-2.64

ΔE_f   13 kJ/mol of formula units
ΔE to the lowest computed polymorph   3 kJ/mol of formula units
Calculated total energy   -7.43 eV/atom



Material: Na4Cd3H2C4O14
Method: DFT, GGA-PBEsol
State: relaxed

a b c (Å): 9.3668 3.4271 19.0979
angles (deg): 90.00 98.87 90.00
Closest atoms and distances in Å follow each position.
Space group P2_1/c (No. 14)
Asymmetric unit:
Na: 0.0438 0.0438 0.3261 x4  6 O 2.31-2.58
Na: 0.1451 0.2501 0.0500 x4  6 O 2.32-2.55
Cd: 0.4207 0.0385 0.8208 x4  6 O 2.23-2.43, 1 H 2.48
Cd: 0.5000 0.0000 0.5000 x2  6 O 2.19-2.39
H: 0.3794 0.5476 0.1202 x4  1 O 1.01
C: 0.2135 0.6068 0.4328 x4  3 O 1.29-1.31
C: 0.2335 0.5842 0.6950 x4  3 O 1.27-1.34
O: 0.1032 0.7307 0.9533 x4  1 C 1.29
O: 0.1223 0.0498 0.2173 x4  1 C 1.27
O: 0.2136 0.5427 0.3659 x4  1 C 1.30
O: 0.2256 0.7438 0.1344 x4  1 C 1.29
O: 0.3235 0.5067 0.4804 x4  1 C 1.31
O: 0.3630 0.5481 0.7350 x4  1 C 1.34
O: 0.4798 0.0326 0.6128 x4  1 H 1.01

Calculated total energy   -6.22 eV/atom



Material: ScCrAu2
Method: DFT, GGA-PBEsol
State: relaxed

a b c (Å): 4.5721 4.5721 6.6234
angles (deg): 90.00 90.00 90.00
Closest atoms and distances in Å follow each position.
Space group I4/mmm (No. 139)
Asymmetric unit:
Sc: 0.0000 0.0000 0.0000 x2  8 Au 2.82
Cr: 0.0000 0.0000 0.5000 x2  8 Au 2.82
Au: 0.0000 0.5000 0.2500 x4  4 Cr 2.82, 4 Sc 2.82

ΔE_f   -118 kJ/mol of formula units
Calculated total energy   -6.48 eV/atom



Material: NaTiO2
Method: DFT, GGA-PBEsol
State: relaxed

a b c (Å): 5.2752 5.2752 5.2752
angles (deg): 90.00 90.00 90.00
Closest atoms and distances in Å follow each position.
Space group Fm-3m (No. 225)
Asymmetric unit:
Na: 0.0000 0.0000 0.0000 x4  8 O 2.28
Ti: 0.0000 0.0000 0.5000 x4  8 O 2.28
O: 0.2500 0.2500 0.2500 x8  4 Ti 2.28, 4 Na 2.28

Uncorrected formation energy   -1.72 eV per atom
Calculated total energy   -6.77 eV/atom



Material: FeTc2Ir
Method: DFT, GGA-PBEsol
State: relaxed

a b c (Å): 4.0688 2.6428 9.8182
angles (deg): 90.00 90.00 90.00
Closest atoms and distances in Å follow each position.
Space group Amm2 (No. 38)
Asymmetric unit:
Fe: 0.0000 0.0000 0.0000 x2  2 Ir 2.44, 5 Tc 2.49-2.60, 2 Fe 2.64
Tc: 0.0000 0.0000 0.7465 x2  3 Fe 2.49-2.76, 2 Tc 2.64, 4 Ir 2.66
Tc: 0.5000 0.0000 0.4035 x2  4 Fe 2.60, 3 Ir 2.62-2.64, 6 Tc 2.64-2.87
Ir: 0.5000 0.0000 0.1364 x2  2 Fe 2.44, 7 Tc 2.62-2.66, 2 Ir 2.64

ΔE_f   -14 kJ/mol of formula units
ΔE to the lowest computed polymorph   11 kJ/mol of formula units
Calculated total energy   -10.37 eV/atom



Material: SrTiTc3
Method: DFT, GGA-PBEsol
State: relaxed

a b c (Å): 4.6027 4.6027 4.6027
angles (deg): 90.00 90.00 90.00
Closest atoms and distances in Å follow each position.
Space group Pm-3m (No. 221)
Asymmetric unit:
Sr: 0.0000 0.0000 0.0000 x1  6 Tc 2.30
Ti: 0.5000 0.5000 0.5000 x1  12 Tc 3.25
Tc: 0.0000 0.0000 0.5000 x3  2 Sr 2.30

ΔE_f   1329 kJ/mol of formula units
Calculated total energy   -6.04 eV/atom



Material: SrNi2Sb
Method: DFT, GGA-PBEsol
State: relaxed

a b c (Å): 4.2895 4.2895 15.5470
angles (deg): 90.00 90.00 120.00
Closest atoms and distances in Å follow each position.
Space group R-3m (No. 166, hexagonal axes)
Asymmetric unit:
Sr: 0.0000 0.0000 0.0000 x3  2 Ni 2.95
Ni: 0.0000 0.0000 0.1899 x6  3 Sb 2.50, 3 Ni 2.58
Sb: 0.0000 0.0000 0.5000 x3  6 Ni 2.50

Uncorrected formation energy   -0.41 eV per atom
Calculated total energy   -5.09 eV/atom



Material: LaNb2IrBr
Method: DFT, GGA-PBEsol
State: relaxed

a b c (Å): 4.7698 4.7698 4.7830
angles (deg): 90.00 90.00 90.00
Closest atoms and distances in Å follow each position.
Space group P4/mmm (No. 123)
Asymmetric unit:
La: 0.0000 0.0000 0.0000 x1  4 Ir 3.37, 8 Nb 3.38
Nb: 0.0000 0.5000 0.5000 x2  2 Br 2.38
Ir: 0.5000 0.5000 0.0000 x1  2 Br 2.39
Br: 0.5000 0.5000 0.5000 x1  4 Nb 2.38, 2 Ir 2.39

Uncorrected formation energy   0.76 eV per atom
Calculated total energy   -6.98 eV/atom



Material: SrZnIr
Method: DFT, GGA-PBEsol
State: relaxed

a b c (Å): 4.2553 4.2553 4.2597
angles (deg): 90.00 90.00 120.00
Closest atoms and distances in Å follow each position.
Space group P-6m2 (No. 187)
Asymmetric unit:
Sr: 0.0000 0.0000 0.0000 x1  6 Ir 3.25, 6 Zn 3.25
Zn: 0.6667 0.3333 0.5000 x1  3 Ir 2.46
Ir: 0.3333 0.6667 0.5000 x1  3 Zn 2.46

ΔE_f   -43 kJ/mol of formula units
Calculated total energy   -4.56 eV/atom



Material: ScBe3Os
Method: DFT, GGA-PBEsol
State: relaxed

a b c (Å): 4.1718 4.1718 4.1718
angles (deg): 90.00 90.00 90.00
Closest atoms and distances in Å follow each position.
Space group Pm-3m (No. 221)
Asymmetric unit:
Sc: 0.0000 0.0000 0.0000 x1  12 Be 2.95
Be: 0.0000 0.5000 0.5000 x3  2 Os 2.09
Os: 0.5000 0.5000 0.5000 x1  6 Be 2.09

ΔE_f   75 kJ/mol of formula units
Calculated total energy   -6.01 eV/atom



Material: KAgI2
Method: DFT, GGA-PBEsol
State: relaxed

a b c (Å): 8.2413 8.2413 8.6711
angles (deg): 90.00 90.00 90.00
Closest atoms and distances in Å follow each position.
Space group I-42d (No. 122)
Asymmetric unit:
K: 0.0000 0.0000 0.0000 x4  4 I 3.47
Ag: 0.0000 0.0000 0.5000 x4  4 I 2.80
I: 0.1883 0.7500 0.6250 x8  2 Ag 2.80

Uncorrected formation energy   -0.78 eV per atom
Calculated total energy   -2.78 eV/atom



Material: MgSc3
Method: DFT, GGA-PBEsol
State: relaxed

a b c (Å): 3.5682 4.9664 10.4288
angles (deg): 90.00 90.00 90.00
Closest atoms and distances in Å follow each position.
Space group Immm (No. 71)
Asymmetric unit:
Mg: 0.0000 0.0000 0.0000 x2  8 Sc 3.01-3.06
Sc: 0.0000 0.0000 0.5000 x2  4 Mg 3.06, 4 Sc 3.31
Sc: 0.0000 0.5000 0.2671 x4  2 Mg 3.01, 6 Sc 3.08-3.31

ΔE_f   7 kJ/mol of formula units
ΔE to the lowest computed polymorph   9 kJ/mol of formula units
Calculated total energy   -5.37 eV/atom



Material: Tc2IrW
Method: DFT, GGA-PBEsol
State: relaxed

a b c (Å): 3.8551 3.8551 7.7476
angles (deg): 90.00 90.00 90.00
Closest atoms and distances in Å follow each position.
Space group I-4m2 (No. 119)
Asymmetric unit:
Tc: 0.0000 0.0000 0.0000 x2  4 W 2.73, 4 Tc 2.73, 4 Ir 2.73
Tc: 0.0000 0.5000 0.2500 x2  4 Ir 2.73, 4 W 2.73, 4 Tc 2.73
Ir: 0.0000 0.5000 0.7500 x2  8 Tc 2.73, 4 W 2.73
W: 0.0000 0.0000 0.5000 x2  8 Tc 2.73, 4 Ir 2.73

ΔE_f   -42 kJ/mol of formula units
ΔE to the lowest computed polymorph   10 kJ/mol of formula units
Calculated total energy   -11.65 eV/atom



Material: TlAgSe2
Method: DFT, GGA-PBEsol
State: relaxed

a b c (Å): 4.0009 4.0009 5.6342
angles (deg): 90.00 90.00 90.00
Closest atoms and distances in Å follow each position.
Space group P4/mmm (No. 123)
Asymmetric unit:
Tl: 0.0000 0.0000 0.0000 x1  6 Se 2.82-2.83
Ag: 0.5000 0.5000 0.5000 x1  6 Se 2.82-2.83
Se: 0.0000 0.0000 0.5000 x1  2 Tl 2.82, 4 Ag 2.83
Se: 0.5000 0.5000 0.0000 x1  2 Ag 2.82, 4 Tl 2.83

Uncorrected formation energy   -0.12 eV per atom
Calculated total energy   -3.53 eV/atom



Material: ZrBe2Cl
Method: DFT, GGA-PBEsol
State: relaxed

a b c (Å): 6.9422 6.9422 4.8946
angles (deg): 90.00 90.00 90.00
Closest atoms and distances in Å follow each position.
Space group I-42d (No. 122)
Asymmetric unit:
Zr: 0.0000 0.0000 0.0000 x4  2 Cl 2.45, 4 Be 2.70
Be: 0.2155 0.2500 0.6250 x8  2 Cl 2.37, 2 Be 2.49
Cl: 0.0000 0.0000 0.5000 x4  4 Be 2.37, 2 Zr 2.45

ΔE to the lowest computed polymorph   230 kJ/mol of formula units
Uncorrected formation energy   0.32 eV per atom
Calculated total energy   -4.46 eV/atom



Material: Al3Ir
Method: DFT, GGA-PBEsol
State: relaxed

a b c (Å): 4.8627 4.8627 4.8627
angles (deg): 90.00 90.00 90.00
Closest atoms and distances in Å follow each position.
Space group Pm-3n (No. 223)
Asymmetric unit:
Al: 0.0000 0.2500 0.5000 x6  2 Al 2.43, 4 Ir 2.72
Ir: 0.0000 0.0000 0.0000 x2  12 Al 2.72

ΔE_f   -235 kJ/mol of formula units
Calculated total energy   -6.13 eV/atom



Material: UGa5Ru
Method: DFT, GGA-PBEsol
State: relaxed

a b c (Å): 4.2778 4.2778 6.6553
angles (deg): 90.00 90.00 90.00
Closest atoms and distances in Å follow each position.
Space group P4/mmm (No. 123)
Asymmetric unit:
U: 0.0000 0.0000 0.0000 x1  12 Ga 2.93-3.02
Ga: 0.0000 0.5000 0.3007 x4  2 Ru 2.52, 1 Ga 2.65
Ga: 0.5000 0.5000 0.0000 x1  8 Ga 2.93, 4 U 3.02
Ru: 0.0000 0.0000 0.5000 x1  8 Ga 2.52

ΔE_f   -225 kJ/mol of formula units
Calculated total energy   -5.91 eV/atom



Material: Te7IrBr7
Method: DFT, GGA-PBEsol
State: relaxed

a b c (Å): 9.6779 10.2854 11.5975
angles (deg): 92.85 113.32 113.58
Closest atoms and distances in Å follow each position.
Space group P-1 (No. 2)
Asymmetric unit:
Te: 0.0601 0.3426 0.0104 x2  1 Ir 2.65, 2 Te 2.82-2.84
Te: 0.0650 0.7570 0.7298 x2  1 Ir 2.65, 4 Br 2.67-2.82
Te: 0.0885 0.9613 0.3013 x2  1 Ir 2.67, 2 Te 2.83-2.84
Te: 0.2126 0.0525 0.0291 x2  2 Ir 2.68-2.69, 1 Te 2.97
Te: 0.2215 0.2810 0.8742 x2  3 Te 2.82-3.02
Te: 0.2562 0.8529 0.2010 x2  3 Te 2.84-2.97, 1 Br 3.15
Te: 0.3857 0.3489 0.3345 x2  3 Br 2.56-2.76, 1 Ir 2.63
Ir: 0.0841 0.1553 0.1572 x2  6 Te 2.63-2.69
Br: 0.0998 0.5314 0.2989 x2  1 Te 2.67
Br: 0.1719 0.2815 0.5078 x2  1 Te 2.68
Br: 0.2666 0.0426 0.7256 x2  1 Te 2.82
Br: 0.3095 0.7588 0.9657 x2  2 Te 2.81-3.15
Br: 0.4136 0.5631 0.1982 x2  2 Te 2.76-3.00
Br: 0.4137 0.6771 0.7464 x2  1 Te 2.56
Br: 0.4579 0.1568 0.4745 x2  2 Te 2.75-3.00

Uncorrected formation energy   -0.30 eV per atom
Calculated total energy   -3.47 eV/atom



Material: TePt2O
Method: DFT, GGA-PBEsol
State: relaxed

a b c (Å): 6.2192 6.2192 6.2192
angles (deg): 90.00 90.00 90.00
Closest atoms and distances in Å follow each position.
Space group Fm-3m (No. 225)
Asymmetric unit:
Te: 0.0000 0.0000 0.0000 x4  8 Pt 2.69
Pt: 0.2500 0.2500 0.2500 x8  4 O 2.69, 4 Te 2.69
O: 0.0000 0.0000 0.5000 x4  8 Pt 2.69

Uncorrected formation energy   0.27 eV per atom
Calculated total energy   -5.40 eV/atom



Material: BeTeSe
Method: DFT, GGA-PBEsol
State: relaxed

a b c (Å): 6.3144 6.3144 6.3144
angles (deg): 90.00 90.00 90.00
Closest atoms and distances in Å follow each position.
Space group F-43m (No. 216)
Asymmetric unit:
Be: 0.0000 0.0000 0.0000 x4  4 Se 2.73, 4 Te 2.73
Te: 0.2500 0.2500 0.7500 x4  4 Be 2.73
Se: 0.2500 0.2500 0.2500 x4  4 Be 2.73

ΔE to the lowest computed polymorph   137 kJ/mol of formula units
Uncorrected formation energy   0.33 eV per atom
Calculated total energy   -3.46 eV/atom